Record 1
First-principles (GGA-PBE) data for a geometry-optimized AlRuPb structure, as listed in Alexandria via LeMat-Bulk.

Properties
VASP energy = -5.443 eV/atom
calculated density = 9.55 g/cm3
formation enthalpy at 0 K = 0.40 eV/f.u.
D(E_F) = 0.516 states/eV/atom
volume = 19.43 Å³ per atom

```
data_AlRuPb
_cell_length_a 3.202
_cell_length_b 3.202
_cell_length_c 6.566
_cell_angle_alpha 90.00
_cell_angle_beta 90.00
_cell_angle_gamma 120.00
_symmetry_space_group_name_H-M 'P 1'
_symmetry_Int_Tables_number 1
_symmetry_space_group_name_Hall 'P 1'
loop_
_atom_site_label
_atom_site_fract_x
_atom_site_fract_y
_atom_site_fract_z
Pb1 0.333 0.667 0.360
Ru1 0.667 0.333 0.692
Al1 0.000 0.000 0.948
```

=====

Record 2
First-principles (GGA-PBE) data for a geometry-optimized ScReOsSe2 structure, as listed in Alexandria via LeMat-Bulk.

Properties
VASP energy = -5.795 eV/atom
calculated density = 8.08 g/cm3
uncorrected formation energy = 1.60 eV per atom
D(E_F) = 0.625 states/eV/atom
volume = 23.82 Å³ per atom

```
data_ScReOsSe2
_cell_length_a 4.918
_cell_length_b 4.925
_cell_length_c 4.918
_cell_angle_alpha 90.00
_cell_angle_beta 90.00
_cell_angle_gamma 90.00
_symmetry_space_group_name_H-M 'P 1'
_symmetry_Int_Tables_number 1
_symmetry_space_group_name_Hall 'P 1'
loop_
_atom_site_label
_atom_site_fract_x
_atom_site_fract_y
_atom_site_fract_z
Sc1 0.000 0.000 0.000
Re1 0.500 0.500 0.500
Os1 0.000 0.500 0.000
Se1 0.000 0.000 0.500
Se2 0.500 0.000 0.000
```

=====

Record 3
First-principles (GGA-PBE) data for a geometry-optimized ZnNiPt structure, as listed in Alexandria via LeMat-Bulk.

Properties
VASP energy = -4.647 eV/atom
calculated density = 13.09 g/cm3
formation enthalpy at 0 K = -0.85 eV/f.u.
D(E_F) = 0.986 states/eV/atom
volume = 13.50 Å³ per atom

```
data_ZnNiPt
_cell_length_a 5.279
_cell_length_b 4.594
_cell_length_c 7.979
_cell_angle_alpha 90.00
_cell_angle_beta 123.14
_cell_angle_gamma 90.00
_symmetry_space_group_name_H-M 'P 1'
_symmetry_Int_Tables_number 1
_symmetry_space_group_name_Hall 'P 1'
loop_
_atom_site_label
_atom_site_fract_x
_atom_site_fract_y
_atom_site_fract_z
Zn1 0.495 0.421 0.163
Zn2 0.505 0.421 0.837
Zn3 0.495 0.921 0.663
Zn4 0.505 0.921 0.337
Ni1 0.001 0.093 0.332
Ni2 0.999 0.093 0.668
Ni3 0.001 0.593 0.832
Ni4 0.999 0.593 0.168
Pt1 0.500 0.416 0.500
Pt2 0.500 0.916 0.000
Pt3 0.000 0.089 0.000
Pt4 0.000 0.589 0.500
```

=====

Record 4
First-principles (GGA-PBE) data for a geometry-optimized Rb2BaSr structure, as listed in Alexandria via LeMat-Bulk.

Properties
VASP energy = -1.213 eV/atom
calculated density = 2.29 g/cm3
formation enthalpy at 0 K = 0.69 eV/f.u.
D(E_F) = 1.240 states/eV/atom
volume = 71.70 Å³ per atom

```
data_Rb2BaSr
_cell_length_a 4.470
_cell_length_b 4.470
_cell_length_c 16.775
_cell_angle_alpha 82.34
_cell_angle_beta 82.34
_cell_angle_gamma 60.00
_symmetry_space_group_name_H-M 'P 1'
_symmetry_Int_Tables_number 1
_symmetry_space_group_name_Hall 'P 1'
loop_
_atom_site_label
_atom_site_fract_x
_atom_site_fract_y
_atom_site_fract_z
Sr1 0.500 0.500 0.500
Ba1 0.000 0.000 0.000
Rb1 0.088 0.088 0.737
Rb2 0.912 0.912 0.263
```

=====

Record 5
First-principles (GGA-PBE) data for a geometry-optimized DyTlSn structure, as listed in Alexandria via LeMat-Bulk.

Properties
VASP energy = -3.723 eV/atom
calculated density = 8.56 g/cm3
formation enthalpy at 0 K = -0.20 eV/f.u.
energy relative to the lowest polymorph listed for this composition = 0.361 eV per atom
D(E_F) = 1.042 states/eV/atom
volume = 31.38 Å³ per atom

```
data_DyTlSn
_cell_length_a 3.386
_cell_length_b 3.386
_cell_length_c 8.552
_cell_angle_alpha 101.42
_cell_angle_beta 101.42
_cell_angle_gamma 90.00
_symmetry_space_group_name_H-M 'P 1'
_symmetry_Int_Tables_number 1
_symmetry_space_group_name_Hall 'P 1'
loop_
_atom_site_label
_atom_site_fract_x
_atom_site_fract_y
_atom_site_fract_z
Tl1 0.952 0.952 0.905
Sn1 0.134 0.134 0.268
Dy1 0.764 0.764 0.527
```

=====

Record 6
First-principles (GGA-PBE) data for a geometry-optimized Li2ZnNF structure, as listed in Alexandria via LeMat-Bulk.

Properties
VASP energy = -2.611 eV/atom
calculated density = 1.85 g/cm3
uncorrected formation energy = 0.45 eV per atom
D(E_F) = 0.468 states/eV/atom
volume = 20.14 Å³ per atom

```
data_Li2ZnNF
_cell_length_a 5.032
_cell_length_b 3.978
_cell_length_c 5.032
_cell_angle_alpha 90.00
_cell_angle_beta 90.00
_cell_angle_gamma 90.00
_symmetry_space_group_name_H-M 'P 1'
_symmetry_Int_Tables_number 1
_symmetry_space_group_name_Hall 'P 1'
loop_
_atom_site_label
_atom_site_fract_x
_atom_site_fract_y
_atom_site_fract_z
Zn1 0.000 0.000 0.000
N1 0.500 0.500 0.500
Li1 0.000 0.000 0.500
Li2 0.500 0.000 0.000
F1 0.000 0.500 0.000
```

=====

Record 7
First-principles (GGA-PBE) data for a geometry-optimized Ba2AgRu structure, as listed in Alexandria via LeMat-Bulk.

Properties
VASP energy = -3.620 eV/atom
calculated density = 6.60 g/cm3
formation enthalpy at 0 K = 1.49 eV/f.u.
energy relative to the lowest polymorph listed for this composition = 0.120 eV per atom
D(E_F) = 1.428 states/eV/atom
volume = 30.43 Å³ per atom

```
data_Ba2AgRu
_cell_length_a 5.687
_cell_length_b 8.881
_cell_length_c 3.763
_cell_angle_alpha 64.87
_cell_angle_beta 90.04
_cell_angle_gamma 129.82
_symmetry_space_group_name_H-M 'P 1'
_symmetry_Int_Tables_number 1
_symmetry_space_group_name_Hall 'P 1'
loop_
_atom_site_label
_atom_site_fract_x
_atom_site_fract_y
_atom_site_fract_z
Ag1 0.500 0.000 0.500
Ba1 0.000 0.000 0.000
Ba2 0.000 0.500 0.500
Ru1 0.500 0.500 0.000
```

=====

Record 8
First-principles (GGA-PBE) data for a geometry-optimized InRe2AuSe structure, as listed in Alexandria via LeMat-Bulk.

Properties
VASP energy = -4.466 eV/atom
calculated density = 9.76 g/cm3
uncorrected formation energy = 2.41 eV per atom
D(E_F) = 0.889 states/eV/atom
volume = 25.96 Å³ per atom

```
data_InRe2AuSe
_cell_length_a 5.097
_cell_length_b 4.997
_cell_length_c 5.097
_cell_angle_alpha 90.00
_cell_angle_beta 90.00
_cell_angle_gamma 90.00
_symmetry_space_group_name_H-M 'P 1'
_symmetry_Int_Tables_number 1
_symmetry_space_group_name_Hall 'P 1'
loop_
_atom_site_label
_atom_site_fract_x
_atom_site_fract_y
_atom_site_fract_z
Re1 0.000 0.000 0.500
Re2 0.500 0.000 0.000
Au1 0.000 0.500 0.000
Se1 0.500 0.500 0.500
In1 0.000 0.000 0.000
```